(1)
DFT (GGA-PBE) results for crystalline La5Er2In4 at its relaxed geometry.

```
La5Er2In4
1.0
8.957 0.000 0.000
0.000 3.425 0.000
-0.973 0.000 10.891
La Er In
5 2 4
Direct
0.000 0.000 0.000
0.042 0.000 0.338
0.345 0.000 0.861
0.655 0.000 0.139
0.958 0.000 0.662
0.424 0.000 0.363
0.576 0.000 0.637
0.263 0.500 0.574
0.301 0.500 0.131
0.699 0.500 0.869
0.737 0.500 0.426
```

VASP energy = -4.387 eV/atom
SG = P2/m
Crystal system = monoclinic
Total magnetic moment = 0.03 μB per atom

---

(2)
DFT (GGA-PBE) results for crystalline La2Er8In at its relaxed geometry.

```
La2Er8In
1.0
9.036 -2.473 0.000
9.036 2.473 0.000
-2.028 0.000 7.573
La Er In
2 8 1
Direct
0.220 0.220 0.131
0.780 0.780 0.869
0.043 0.043 0.225
0.133 0.133 0.671
0.321 0.321 0.593
0.413 0.413 0.058
0.587 0.587 0.942
0.679 0.679 0.407
0.867 0.867 0.329
0.957 0.957 0.775
0.500 0.500 0.500
```

VASP energy = -4.510 eV/atom
SG = C2/m
Crystal system = monoclinic
Total magnetic moment = 0.00 μB per atom

---

(3)
DFT (GGA-PBE) results for crystalline LaEr5In3 at its relaxed geometry.

```
LaEr5In3
1.0
9.345 0.000 0.000
-4.672 8.093 0.000
0.000 0.000 6.735
La Er In
2 10 6
Direct
0.000 0.000 0.000
0.000 0.000 0.500
0.000 0.330 0.250
0.000 0.670 0.750
0.330 0.000 0.250
0.330 0.330 0.750
0.333 0.667 0.000
0.333 0.667 0.500
0.667 0.333 0.000
0.667 0.333 0.500
0.670 0.000 0.750
0.670 0.670 0.250
0.000 0.342 0.750
0.000 0.658 0.250
0.342 0.000 0.750
0.342 0.342 0.250
0.658 0.000 0.250
0.658 0.658 0.750
```

VASP energy = -4.339 eV/atom
SG = P6_3/mcm
Crystal system = hexagonal
Total magnetic moment = 0.09 μB per atom

---

(4)
DFT (GGA-PBE) results for crystalline La5ErIn4 at its relaxed geometry.

```
La5ErIn4
1.0
3.712 0.000 0.000
0.000 3.712 0.000
0.000 0.000 22.884
La Er In
5 1 4
Direct
0.000 0.000 0.000
0.000 0.000 0.195
0.000 0.000 0.388
0.000 0.000 0.612
0.000 0.000 0.805
0.500 0.500 0.500
0.500 0.500 0.098
0.500 0.500 0.293
0.500 0.500 0.707
0.500 0.500 0.902
```

VASP energy = -4.394 eV/atom
SG = P4/mmm
Crystal system = tetragonal
Total magnetic moment = 0.00 μB per atom

---

(5)
DFT (GGA-PBE) results for crystalline La3Er3In2 at its relaxed geometry.

```
La3Er3In2
1.0
2.583 -5.958 0.000
2.583 5.958 0.000
0.000 0.000 16.943
La Er In
6 6 4
Direct
0.053 0.947 0.603
0.053 0.947 0.897
0.289 0.711 0.750
0.711 0.289 0.250
0.947 0.053 0.103
0.947 0.053 0.397
0.367 0.633 0.546
0.367 0.633 0.954
0.429 0.571 0.250
0.571 0.429 0.750
0.633 0.367 0.046
0.633 0.367 0.454
0.239 0.761 0.119
0.239 0.761 0.381
0.761 0.239 0.619
0.761 0.239 0.881
```

VASP energy = -4.410 eV/atom
SG = Cmcm
Crystal system = orthorhombic
Total magnetic moment = 0.00 μB per atom

---

(6)
DFT (GGA-PBE) results for crystalline La5Er4In4 at its relaxed geometry.

```
La5Er4In4
1.0
-6.426 6.426 2.527
6.426 -6.426 2.527
6.426 6.426 -2.527
La Er In
5 4 4
Direct
0.000 0.000 0.000
0.304 0.392 0.695
0.392 0.696 0.088
0.608 0.304 0.912
0.696 0.608 0.305
0.095 0.595 0.691
0.405 0.095 0.500
0.595 0.905 0.500
0.905 0.405 0.309
0.088 0.243 0.331
0.243 0.912 0.155
0.757 0.088 0.845
0.912 0.757 0.669
```

VASP energy = -4.450 eV/atom
SG = I4/m
Crystal system = tetragonal
Total magnetic moment = 0.00 μB per atom

---

(7)
DFT (GGA-PBE) results for crystalline La14ErIn at its relaxed geometry.

```
La14ErIn
1.0
7.325 0.000 0.000
0.000 7.325 0.000
0.000 0.000 10.426
La Er In
14 1 1
Direct
0.000 0.000 0.000
0.000 0.500 0.000
0.000 0.500 0.500
0.245 0.245 0.256
0.245 0.245 0.744
0.245 0.755 0.256
0.245 0.755 0.744
0.500 0.000 0.000
0.500 0.000 0.500
0.500 0.500 0.000
0.755 0.245 0.256
0.755 0.245 0.744
0.755 0.755 0.256
0.755 0.755 0.744
0.500 0.500 0.500
0.000 0.000 0.500
```

VASP energy = -4.829 eV/atom
SG = P4/mmm
Crystal system = tetragonal
Total magnetic moment = 0.00 μB per atom

---

(8)
DFT (GGA-PBE) results for crystalline La2ErIn4 at its relaxed geometry.

```
La2ErIn4
1.0
-2.661 2.661 7.614
2.661 -2.661 7.614
2.661 2.661 -7.614
La Er In
2 1 4
Direct
0.249 0.249 0.000
0.751 0.751 0.000
0.500 0.500 0.000
0.106 0.606 0.500
0.394 0.894 0.500
0.606 0.106 0.500
0.894 0.394 0.500
```

VASP energy = -3.964 eV/atom
SG = I4/mmm
Crystal system = tetragonal
Total magnetic moment = 0.00 μB per atom

---

(9)
DFT (GGA-PBE) results for crystalline La6ErIn2 at its relaxed geometry.

```
La6ErIn2
1.0
7.887 -2.394 0.000
7.887 2.394 0.000
-2.834 0.000 7.758
La Er In
6 1 2
Direct
0.097 0.097 0.149
0.222 0.222 0.841
0.335 0.335 0.510
0.665 0.665 0.490
0.778 0.778 0.159
0.903 0.903 0.851
0.000 0.000 0.500
0.442 0.442 0.188
0.558 0.558 0.812
```

VASP energy = -4.612 eV/atom
SG = C2/m
Crystal system = monoclinic
Total magnetic moment = 0.00 μB per atom
Excess energy over the best structure of this formula in the dataset = 0 meV per atom

---

(10)
DFT (GGA-PBE) results for crystalline La3ErIn3 at its relaxed geometry.

```
La3ErIn3
1.0
4.228 -5.441 0.000
4.228 5.441 0.000
-0.418 0.000 9.893
La Er In
6 2 6
Direct
0.179 0.821 0.000
0.242 0.758 0.500
0.401 0.401 0.181
0.599 0.599 0.819
0.758 0.242 0.500
0.821 0.179 0.000
0.277 0.277 0.541
0.723 0.723 0.459
0.022 0.022 0.274
0.059 0.473 0.761
0.473 0.059 0.761
0.527 0.941 0.239
0.941 0.527 0.239
0.978 0.978 0.726
```

VASP energy = -4.237 eV/atom
SG = C2/m
Crystal system = monoclinic
Total magnetic moment = 0.00 μB per atom

---

(11)
DFT (GGA-PBE) results for crystalline LaErIn2 at its relaxed geometry.

```
LaErIn2
1.0
1.868 1.079 10.012
-1.868 1.079 10.012
0.000 -2.157 10.012
La Er In
1 1 2
Direct
0.000 0.000 0.000
0.500 0.500 0.500
0.246 0.246 0.246
0.754 0.754 0.754
```

VASP energy = -4.042 eV/atom
SG = R-3m
Crystal system = trigonal
Total magnetic moment = 0.00 μB per atom

---

(12)
DFT (GGA-PBE) results for crystalline LaEr2In at its relaxed geometry.

```
LaEr2In
1.0
0.000 3.862 3.862
3.862 0.000 3.862
3.862 3.862 0.000
La Er In
1 2 1
Direct
0.000 0.000 0.000
0.250 0.250 0.250
0.750 0.750 0.750
0.500 0.500 0.500
```

VASP energy = -4.273 eV/atom
SG = Fm-3m
Crystal system = cubic
Total magnetic moment = 0.29 μB per atom
Excess energy over the best structure of this formula in the dataset = 172 meV per atom

---

(13)
DFT (GGA-PBE) results for crystalline LaEr4In5 at its relaxed geometry.

```
LaEr4In5
1.0
3.751 0.000 0.000
0.000 3.751 0.000
0.000 0.000 19.117
La Er In
1 4 5
Direct
0.000 0.000 0.000
0.000 0.000 0.210
0.000 0.000 0.403
0.000 0.000 0.597
0.000 0.000 0.790
0.500 0.500 0.113
0.500 0.500 0.307
0.500 0.500 0.500
0.500 0.500 0.693
0.500 0.500 0.887
```

VASP energy = -4.146 eV/atom
SG = P4/mmm
Crystal system = tetragonal
Total magnetic moment = 0.00 μB per atom

---

(14)
DFT (GGA-PBE) results for crystalline La4Er5In at its relaxed geometry.

```
La4Er5In
1.0
-5.435 5.435 2.914
5.435 -5.435 2.914
5.435 5.435 -2.914
La Er In
4 5 1
Direct
0.000 0.307 0.307
0.000 0.693 0.693
0.307 0.000 0.307
0.693 0.000 0.693
0.212 0.212 0.000
0.318 0.318 0.634
0.318 0.684 0.000
0.684 0.318 0.000
0.684 0.684 0.366
0.725 0.725 0.000
```

VASP energy = -4.474 eV/atom
SG = I4mm
Crystal system = tetragonal
Total magnetic moment = 0.00 μB per atom

---

(15)
DFT (GGA-PBE) results for crystalline LaEr3In4 at its relaxed geometry.

```
LaEr3In4
1.0
10.802 0.000 0.000
0.000 7.291 0.000
0.000 0.000 5.530
La Er In
2 6 8
Direct
0.000 0.000 0.000
0.500 0.000 0.000
0.000 0.500 0.000
0.250 0.000 0.434
0.250 0.500 0.416
0.500 0.500 0.000
0.750 0.000 0.566
0.750 0.500 0.584
0.000 0.264 0.500
0.000 0.736 0.500
0.250 0.264 0.914
0.250 0.736 0.914
0.500 0.264 0.500
0.500 0.736 0.500
0.750 0.264 0.086
0.750 0.736 0.086
```

VASP energy = -4.150 eV/atom
SG = Pmma
Crystal system = orthorhombic
Total magnetic moment = 0.00 μB per atom

---

(16)
DFT (GGA-PBE) results for crystalline La2Er3In4 at its relaxed geometry.

```
La2Er3In4
1.0
3.530 -8.550 0.000
3.530 8.550 0.000
0.000 0.000 9.028
La Er In
4 6 8
Direct
0.108 0.892 0.920
0.392 0.608 0.420
0.608 0.392 0.580
0.892 0.108 0.080
0.000 0.000 0.500
0.029 0.471 0.750
0.471 0.029 0.250
0.500 0.500 0.000
0.529 0.971 0.750
0.971 0.529 0.250
0.180 0.820 0.539
0.207 0.293 0.750
0.293 0.207 0.250
0.320 0.680 0.039
0.680 0.320 0.961
0.707 0.793 0.750
0.793 0.707 0.250
0.820 0.180 0.461
```

VASP energy = -4.167 eV/atom
SG = Cmce
Crystal system = orthorhombic
Total magnetic moment = 0.00 μB per atom

---

(17)
DFT (GGA-PBE) results for crystalline La3Er2In4 at its relaxed geometry.

```
La3Er2In4
1.0
6.041 -2.558 0.000
6.041 2.558 0.000
-4.967 0.000 8.791
La Er In
3 2 4
Direct
0.000 0.000 0.000
0.353 0.353 0.320
0.647 0.647 0.680
0.360 0.360 0.694
0.640 0.640 0.306
0.063 0.063 0.400
0.302 0.302 0.965
0.698 0.698 0.035
0.937 0.937 0.600
```

VASP energy = -4.270 eV/atom
SG = C2/m
Crystal system = monoclinic
Total magnetic moment = 0.00 μB per atom

---

(18)
DFT (GGA-PBE) results for crystalline La4ErIn3 at its relaxed geometry.

```
La4ErIn3
1.0
-2.498 2.498 9.817
2.498 -2.498 9.817
2.498 2.498 -9.817
La Er In
4 1 3
Direct
0.130 0.630 0.500
0.370 0.870 0.500
0.630 0.130 0.500
0.870 0.370 0.500
0.000 0.000 0.000
0.250 0.250 0.000
0.500 0.500 0.000
0.750 0.750 0.000
```

VASP energy = -4.425 eV/atom
SG = I4/mmm
Crystal system = tetragonal
Total magnetic moment = 0.00 μB per atom

---

(19)
DFT (GGA-PBE) results for crystalline La2ErIn3 at its relaxed geometry.

```
La2ErIn3
1.0
1.915 -14.901 0.000
1.915 14.901 0.000
0.000 0.000 6.548
La Er In
4 2 6
Direct
0.005 0.995 0.750
0.157 0.843 0.250
0.843 0.157 0.750
0.995 0.005 0.250
0.331 0.669 0.250
0.669 0.331 0.750
0.252 0.748 0.750
0.421 0.579 0.509
0.421 0.579 0.991
0.579 0.421 0.009
0.579 0.421 0.491
0.748 0.252 0.250
```

VASP energy = -4.074 eV/atom
SG = Cmcm
Crystal system = orthorhombic
Total magnetic moment = 0.00 μB per atom
Excess energy over the best structure of this formula in the dataset = 196 meV per atom

---

(20)
DFT (GGA-PBE) results for crystalline LaEr2In at its relaxed geometry.

```
LaEr2In
1.0
4.802 0.000 0.000
0.000 4.899 0.000
-2.390 0.000 10.873
La Er In
2 4 2
Direct
0.189 0.250 0.382
0.811 0.750 0.618
0.055 0.750 0.112
0.439 0.750 0.876
0.561 0.250 0.124
0.945 0.250 0.888
0.344 0.250 0.685
0.656 0.750 0.315
```

VASP energy = -4.418 eV/atom
SG = P2_1/m
Crystal system = monoclinic
Total magnetic moment = 0.00 μB per atom
Excess energy over the best structure of this formula in the dataset = 27 meV per atom

---

(21)
DFT (GGA-PBE) results for crystalline LaErIn2 at its relaxed geometry.

```
LaErIn2
1.0
5.006 0.000 0.000
0.000 5.006 0.000
0.000 0.000 4.526
La Er In
1 1 2
Direct
0.000 0.000 0.000
0.500 0.500 0.000
0.000 0.500 0.500
0.500 0.000 0.500
```

VASP energy = -4.191 eV/atom
SG = P4/mmm
Crystal system = tetragonal
Total magnetic moment = 0.00 μB per atom